## w
Here is a relaxed CoNi3Rh3 crystal from Alexandria via LeMat-Bulk. Energies are from GGA-PBE.

Calculated values
calculated volume	556.14	Å³/cell

```
data_CoNi3Rh3
_space_group_name_H-M_alt 'R -3'
_space_group_IT_number 148
_space_group_name_Hall '-R 3'
_cell_length_a 5.6397
_cell_length_b 5.6397
_cell_length_c 20.1903
_cell_angle_alpha 90.00
_cell_angle_beta 90.00
_cell_angle_gamma 120.00
loop_
_atom_site_label
_atom_site_type_symbol
_atom_site_fract_x
_atom_site_fract_y
_atom_site_fract_z
Co1 Co 0.0000 0.0000 0.2043
Ni1 Ni 0.0443 0.7807 0.6946
Rh1 Rh 0.0086 0.5610 0.2221
```

## x
Here is a relaxed CoNi3Rh3 crystal from Alexandria via LeMat-Bulk. Energies are from GGA-PBE.

Calculated values
calculated volume	176.23	Å³/cell

```
data_CoNi3Rh3
_space_group_name_H-M_alt 'P 63/m'
_space_group_IT_number 176
_space_group_name_Hall '-P 6c'
_cell_length_a 6.9357
_cell_length_b 6.9357
_cell_length_c 4.2304
_cell_angle_alpha 90.00
_cell_angle_beta 90.00
_cell_angle_gamma 120.00
loop_
_atom_site_label
_atom_site_type_symbol
_atom_site_fract_x
_atom_site_fract_y
_atom_site_fract_z
Co1 Co 0.3333 0.6667 0.2500
Ni1 Ni 0.0452 0.2297 0.2500
Rh1 Rh 0.0914 0.4655 0.7500
```

On energetic grounds, x is preferred over the next structure by 208 meV per atom.

## w
Here is a relaxed Co4Ni2Rh crystal from Alexandria via LeMat-Bulk. Energies are from GGA-PBE.

Calculated values
calculated volume	165.64	Å³/cell

```
data_Co4Ni2Rh
_space_group_name_H-M_alt 'C 1 2/m 1'
_space_group_IT_number 12
_cell_length_a 4.572
_cell_length_b 8.510
_cell_length_c 4.826
_cell_angle_alpha 90.00
_cell_angle_beta 118.09
_cell_angle_gamma 90.00
loop_
_space_group_symop_operation_xyz
'x,y,z'
'-x,-y,-z'
'-x,y,-z'
'x,-y,z'
'x+1/2,y+1/2,z'
'-x+1/2,-y+1/2,-z'
'-x+1/2,y+1/2,-z'
'x+1/2,-y+1/2,z'
loop_
_atom_site_label
_atom_site_type_symbol
_atom_site_fract_x
_atom_site_fract_y
_atom_site_fract_z
Co1 Co 0.000 0.194 0.000
Co2 Co 0.194 0.000 0.388
Ni1 Ni 0.000 0.250 0.500
Rh1 Rh 0.000 0.500 0.000
```

## x
Here is a relaxed Co4Ni2Rh crystal from Alexandria via LeMat-Bulk. Energies are from GGA-PBE.

Calculated values
calculated volume	228.77	Å³/cell

```
data_Co4Ni2Rh
_space_group_name_H-M_alt 'I 4/m m m'
_space_group_IT_number 139
_space_group_name_Hall '-I 4 2'
_cell_length_a 4.437
_cell_length_b 4.437
_cell_length_c 11.618
_cell_angle_alpha 90.00
_cell_angle_beta 90.00
_cell_angle_gamma 90.00
loop_
_atom_site_label
_atom_site_type_symbol
_atom_site_fract_x
_atom_site_fract_y
_atom_site_fract_z
Co1 Co 0.000 0.000 0.205
Co2 Co 0.000 0.500 0.000
Ni1 Ni 0.000 0.000 0.398
Rh1 Rh 0.000 0.000 0.000
```

On energetic grounds, w is preferred over the next structure by 1069 meV per atom.

## w
Here is a relaxed Co2Ni2Rh crystal from Alexandria via LeMat-Bulk. Energies are from GGA-PBE.

Calculated values
calculated volume	117.41	Å³/cell

```
data_Co2Ni2Rh
_space_group_name_H-M_alt 'C 1 2/m 1'
_space_group_IT_number 12
_cell_length_a 8.054
_cell_length_b 3.618
_cell_length_c 5.676
_cell_angle_alpha 90.00
_cell_angle_beta 134.77
_cell_angle_gamma 90.00
loop_
_space_group_symop_operation_xyz
'x,y,z'
'-x,-y,-z'
'-x,y,-z'
'x,-y,z'
'x+1/2,y+1/2,z'
'-x+1/2,-y+1/2,-z'
'-x+1/2,y+1/2,-z'
'x+1/2,-y+1/2,z'
loop_
_atom_site_label
_atom_site_type_symbol
_atom_site_fract_x
_atom_site_fract_y
_atom_site_fract_z
Co1 Co 0.098 0.000 0.292
Ni1 Ni 0.197 0.500 0.101
Rh1 Rh 0.000 0.500 0.500
```

## x
Here is a relaxed Co2Ni2Rh crystal from Alexandria via LeMat-Bulk. Energies are from GGA-PBE.

Calculated values
calculated volume	130.82	Å³/cell

```
data_Co2Ni2Rh
_space_group_name_H-M_alt 'C m m m'
_space_group_IT_number 65
_space_group_name_Hall '-C 2 2'
_cell_length_a 4.253
_cell_length_b 6.382
_cell_length_c 4.820
_cell_angle_alpha 90.00
_cell_angle_beta 90.00
_cell_angle_gamma 90.00
loop_
_atom_site_label
_atom_site_type_symbol
_atom_site_fract_x
_atom_site_fract_y
_atom_site_fract_z
Co1 Co 0.000 0.173 0.000
Ni1 Ni 0.000 0.500 0.247
Rh1 Rh 0.000 0.000 0.500
```

On energetic grounds, w is preferred over the next structure by 367 meV per atom.

## w
Here is a relaxed Co2Ni2Rh crystal from Alexandria via LeMat-Bulk. Energies are from GGA-PBE.

Calculated values
calculated volume	119.41	Å³/cell

```
data_Co2Ni2Rh
_space_group_name_H-M_alt 'P 4/m b m'
_space_group_IT_number 127
_space_group_name_Hall '-P 4 2ab'
_cell_length_a 6.785
_cell_length_b 6.785
_cell_length_c 2.594
_cell_angle_alpha 90.00
_cell_angle_beta 90.00
_cell_angle_gamma 90.00
loop_
_atom_site_label
_atom_site_type_symbol
_atom_site_fract_x
_atom_site_fract_y
_atom_site_fract_z
Co1 Co 0.173 0.327 0.000
Ni1 Ni 0.124 0.624 0.500
Rh1 Rh 0.000 0.000 0.500
```

## x
Here is a relaxed Co2Ni2Rh crystal from Alexandria via LeMat-Bulk. Energies are from GGA-PBE.

Calculated values
calculated volume	119.78	Å³/cell

```
data_Co2Ni2Rh
_space_group_name_H-M_alt 'P 4/m b m'
_space_group_IT_number 127
_space_group_name_Hall '-P 4 2ab'
_cell_length_a 6.796
_cell_length_b 6.796
_cell_length_c 2.594
_cell_angle_alpha 90.00
_cell_angle_beta 90.00
_cell_angle_gamma 90.00
loop_
_atom_site_label
_atom_site_type_symbol
_atom_site_fract_x
_atom_site_fract_y
_atom_site_fract_z
Co1 Co 0.121 0.379 0.000
Ni1 Ni 0.175 0.675 0.500
Rh1 Rh 0.000 0.000 0.000
```

On energetic grounds, w is preferred over the next structure by 20 meV per atom.

## w
Here is a relaxed Co4Ni7Rh crystal from Alexandria via LeMat-Bulk. Energies are from GGA-PBE.

Calculated values
calculated volume	295.54	Å³/cell

```
data_Co4Ni7Rh
_space_group_name_H-M_alt 'C 1 2/m 1'
_space_group_IT_number 12
_cell_length_a 8.981
_cell_length_b 4.363
_cell_length_c 8.733
_cell_angle_alpha 90.00
_cell_angle_beta 120.27
_cell_angle_gamma 90.00
loop_
_space_group_symop_operation_xyz
'x,y,z'
'-x,-y,-z'
'-x,y,-z'
'x,-y,z'
'x+1/2,y+1/2,z'
'-x+1/2,-y+1/2,-z'
'-x+1/2,y+1/2,-z'
'x+1/2,-y+1/2,z'
loop_
_atom_site_label
_atom_site_type_symbol
_atom_site_fract_x
_atom_site_fract_y
_atom_site_fract_z
Co1 Co 0.096 0.000 0.311
Co2 Co 0.186 0.500 0.773
Ni1 Ni 0.000 0.000 0.000
Ni2 Ni 0.107 0.500 0.453
Ni3 Ni 0.160 0.000 0.619
Ni4 Ni 0.198 0.000 0.911
Rh1 Rh 0.000 0.500 0.000
```

## x
Here is a relaxed Co4Ni7Rh crystal from Alexandria via LeMat-Bulk. Energies are from GGA-PBE.

Calculated values
calculated volume	135.07	Å³/cell

```
data_Co4Ni7Rh
_space_group_name_H-M_alt 'P -1'
_space_group_IT_number 2
_cell_length_a 4.332
_cell_length_b 5.064
_cell_length_c 6.617
_cell_angle_alpha 79.13
_cell_angle_beta 71.67
_cell_angle_gamma 89.76
loop_
_space_group_symop_operation_xyz
'x,y,z'
'-x,-y,-z'
loop_
_atom_site_label
_atom_site_type_symbol
_atom_site_fract_x
_atom_site_fract_y
_atom_site_fract_z
Co1 Co 0.001 0.415 0.336
Co2 Co 0.496 0.831 0.661
Ni1 Ni 0.002 0.744 0.000
Ni2 Ni 0.005 0.085 0.661
Ni3 Ni 0.498 0.662 0.337
Ni4 Ni 0.500 0.500 0.000
Rh1 Rh 0.500 0.000 0.000
```

On energetic grounds, x is preferred over the next structure by 407 meV per atom.

## w
Here is a relaxed Co2Ni3Rh crystal from Alexandria via LeMat-Bulk. Energies are from GGA-PBE.

Calculated values
calculated volume	287.97	Å³/cell

```
data_Co2Ni3Rh
_space_group_name_H-M_alt 'C 1 2/c 1'
_space_group_IT_number 15
_cell_length_a 7.022
_cell_length_b 9.229
_cell_length_c 4.493
_cell_angle_alpha 90.00
_cell_angle_beta 98.52
_cell_angle_gamma 90.00
loop_
_space_group_symop_operation_xyz
'x,y,z'
'-x,-y,-z'
'-x,y,-z+1/2'
'x,-y,z+1/2'
'x+1/2,y+1/2,z'
'-x+1/2,-y+1/2,-z'
'-x+1/2,y+1/2,-z+1/2'
'x+1/2,-y+1/2,z+1/2'
loop_
_atom_site_label
_atom_site_type_symbol
_atom_site_fract_x
_atom_site_fract_y
_atom_site_fract_z
Co1 Co 0.166 0.215 0.230
Ni1 Ni 0.000 0.320 0.750
Ni2 Ni 0.165 0.462 0.413
Rh1 Rh 0.000 0.060 0.750
```

## x
Here is a relaxed Co2Ni3Rh crystal from Alexandria via LeMat-Bulk. Energies are from GGA-PBE.

Calculated values
calculated volume	278.92	Å³/cell

```
data_Co2Ni3Rh
_space_group_name_H-M_alt 'C 1 2/m 1'
_space_group_IT_number 12
_cell_length_a 15.490
_cell_length_b 2.578
_cell_length_c 8.234
_cell_angle_alpha 90.00
_cell_angle_beta 121.98
_cell_angle_gamma 90.00
loop_
_space_group_symop_operation_xyz
'x,y,z'
'-x,-y,-z'
'-x,y,-z'
'x,-y,z'
'x+1/2,y+1/2,z'
'-x+1/2,-y+1/2,-z'
'-x+1/2,y+1/2,-z'
'x+1/2,-y+1/2,z'
loop_
_atom_site_label
_atom_site_type_symbol
_atom_site_fract_x
_atom_site_fract_y
_atom_site_fract_z
Co1 Co 0.060 0.000 0.191
Co2 Co 0.226 0.500 0.355
Ni1 Ni 0.055 0.000 0.675
Ni2 Ni 0.111 0.500 0.483
Ni3 Ni 0.220 0.500 0.840
Rh1 Rh 0.110 0.500 0.987
```

On energetic grounds, x is preferred over the next structure by 174 meV per atom.

## w
Here is a relaxed Co4NiRh crystal from Alexandria via LeMat-Bulk. Energies are from GGA-PBE.

Calculated values
calculated volume	293.16	Å³/cell

```
data_Co4NiRh
_space_group_name_H-M_alt 'C 1 2/m 1'
_space_group_IT_number 12
_cell_length_a 10.871
_cell_length_b 6.359
_cell_length_c 4.364
_cell_angle_alpha 90.00
_cell_angle_beta 103.64
_cell_angle_gamma 90.00
loop_
_space_group_symop_operation_xyz
'x,y,z'
'-x,-y,-z'
'-x,y,-z'
'x,-y,z'
'x+1/2,y+1/2,z'
'-x+1/2,-y+1/2,-z'
'-x+1/2,y+1/2,-z'
'x+1/2,-y+1/2,z'
loop_
_atom_site_label
_atom_site_type_symbol
_atom_site_fract_x
_atom_site_fract_y
_atom_site_fract_z
Co1 Co 0.000 0.183 0.000
Co2 Co 0.120 0.189 0.557
Co3 Co 0.175 0.500 0.310
Ni1 Ni 0.050 0.500 0.775
Rh1 Rh 0.210 0.000 0.115
```

## x
Here is a relaxed Co4NiRh crystal from Alexandria via LeMat-Bulk. Energies are from GGA-PBE.

Calculated values
calculated volume	285.73	Å³/cell

```
data_Co4NiRh
_space_group_name_H-M_alt 'F -4 3 m'
_space_group_IT_number 216
_space_group_name_Hall 'F -4 2 3'
_cell_length_a 6.586
_cell_length_b 6.586
_cell_length_c 6.586
_cell_angle_alpha 90.00
_cell_angle_beta 90.00
_cell_angle_gamma 90.00
loop_
_atom_site_label
_atom_site_type_symbol
_atom_site_fract_x
_atom_site_fract_y
_atom_site_fract_z
Co1 Co 0.125 0.125 0.125
Ni1 Ni 0.250 0.250 0.750
Rh1 Rh 0.000 0.000 0.500
```

On energetic grounds, x is preferred over the next structure by 99 meV per atom.

## w
Here is a relaxed Co4Ni2Rh3 crystal from Alexandria via LeMat-Bulk. Energies are from GGA-PBE.

Calculated values
calculated volume	220.76	Å³/cell

```
data_Co4Ni2Rh3
_space_group_name_H-M_alt 'C 1 2/m 1'
_space_group_IT_number 12
_cell_length_a 10.852
_cell_length_b 3.667
_cell_length_c 5.850
_cell_angle_alpha 90.00
_cell_angle_beta 108.51
_cell_angle_gamma 90.00
loop_
_space_group_symop_operation_xyz
'x,y,z'
'-x,-y,-z'
'-x,y,-z'
'x,-y,z'
'x+1/2,y+1/2,z'
'-x+1/2,-y+1/2,-z'
'-x+1/2,y+1/2,-z'
'x+1/2,-y+1/2,z'
loop_
_atom_site_label
_atom_site_type_symbol
_atom_site_fract_x
_atom_site_fract_y
_atom_site_fract_z
Co1 Co 0.116 0.000 0.173
Co2 Co 0.175 0.500 0.504
Ni1 Ni 0.225 0.000 0.832
Rh1 Rh 0.000 0.000 0.500
Rh2 Rh 0.057 0.500 0.837
```

## x
Here is a relaxed Co4Ni2Rh3 crystal from Alexandria via LeMat-Bulk. Energies are from GGA-PBE.

Calculated values
calculated volume	457.69	Å³/cell

```
data_Co4Ni2Rh3
_space_group_name_H-M_alt 'C 1 2/c 1'
_space_group_IT_number 15
_cell_length_a 9.832
_cell_length_b 10.956
_cell_length_c 4.252
_cell_angle_alpha 90.00
_cell_angle_beta 92.07
_cell_angle_gamma 90.00
loop_
_space_group_symop_operation_xyz
'x,y,z'
'-x,-y,-z'
'-x,y,-z+1/2'
'x,-y,z+1/2'
'x+1/2,y+1/2,z'
'-x+1/2,-y+1/2,-z'
'-x+1/2,y+1/2,-z+1/2'
'x+1/2,-y+1/2,z+1/2'
loop_
_atom_site_label
_atom_site_type_symbol
_atom_site_fract_x
_atom_site_fract_y
_atom_site_fract_z
Co1 Co 0.108 0.242 0.039
Co2 Co 0.173 0.328 0.561
Ni1 Ni 0.232 0.438 0.031
Rh1 Rh 0.000 0.442 0.250
Rh2 Rh 0.088 0.096 0.514
```

On energetic grounds, w is preferred over the next structure by 132 meV per atom.